VASP calculation (PBE with a Hubbard U) on crystalline FeRuO3 at its relaxed geometry.

```
FeRuO3
1.0
3.679 0.000 0.000
0.000 3.679 0.000
0.000 0.000 3.679
Ru Fe O
1 1 3
Cartesian
1.839 1.839 1.839
0.000 0.000 0.000
0.000 1.839 0.000
0.000 0.000 1.839
1.839 0.000 0.000
```

Properties
As for the size of the total moment: 3.97 Bohr magnetons per cell. As for the space-group type: No. 221. As for the calculated total energy: -5.665 eV per atom.